# 1
The following is a DFT calculation (PBE+U) of a geometry-optimized PmPaV2O8 structure.

```
PmPaV2O8
1.0
6.0795 0.0763 0.0000
-2.6280 5.4826 0.0000
-1.7257 -2.7795 5.1247
O V Pm Pa
8 2 1 1
direct
0.9450 0.2680 0.3230
0.3234 0.1300 0.8066
0.8700 0.6766 0.1934
0.9450 0.6220 0.6770
0.3780 0.0550 0.3230
0.3234 0.5168 0.1934
0.7320 0.0550 0.6770
0.4832 0.6766 0.8066
0.7500 0.2500 0.5000
0.5000 0.5000 0.0000
0.0000 0.0000 0.0000
0.2500 0.7500 0.5000
```

# 2
The following is a DFT calculation (PBE+U) of a geometry-optimized PmPaVO6 structure.

```
PmPaVO6
1.0
5.4971 0.0000 0.0000
-2.7485 4.7606 0.0000
0.0000 0.0000 9.8870
O Pm V Pa
12 2 2 2
direct
0.3697 0.3421 0.3597
0.3421 0.9724 0.6403
0.6579 0.0276 0.3597
0.9724 0.6303 0.3597
0.3421 0.3697 0.8597
0.6579 0.6303 0.1403
0.0276 0.3697 0.6403
0.9724 0.3421 0.1403
0.0276 0.6579 0.8597
0.3697 0.0276 0.1403
0.6303 0.9724 0.8597
0.6303 0.6579 0.6403
0.0000 0.0000 0.0000
0.0000 0.0000 0.5000
0.6667 0.3333 0.2500
0.3333 0.6667 0.7500
0.6667 0.3333 0.7500
0.3333 0.6667 0.2500
```

no.,magnetization (μB per formula unit),final energy (Ha/atom)
1,2.000,-0.3120
2,1.000,-0.3189